! TlCd2Os GGA-PBE relaxed; values from VASP
&SYSTEM
  ibrav = 0, nat = 4, ntyp = 3
/
ATOMIC_SPECIES
Tl 204.38 Tl.upf
Os 190.23 Os.upf
Cd 112.41 Cd.upf
CELL_PARAMETERS angstrom
-2.0611 -2.1957 0.7034
2.0059 0.9806 2.1399
-6.4800 7.0009 2.8662
ATOMIC_POSITIONS crystal
Tl 0.6667 0.3333 0.5000
Os 0.3333 0.6667 0.0000
Cd 0.6667 0.3333 0.7844
Cd 0.6667 0.3333 0.2156
! Distance to the lowest polymorph of the same formula, eV per atom: 0.000
! M_tot, Bohr magnetons per cell: 0.5
! Space-group type: No. 187